#A
DFT (PBE) results for a relaxed structure of KSnAsBr2.

Calculated values
SG = P4/mmm (123)
DOS(E_F) = 2.7 states/eV/cell

Cell: 5.770 5.770 6.051 Å, 90.00 90.00 90.00°
Last column: magnetic moment on the atom in μB.
Positions (direct):
K: 0.000 0.000 0.000  0.04
As: 0.000 0.000 0.500  0.92
Sn: 0.500 0.500 0.500  -0.13
Br: 0.000 0.500 0.000  0.07
Br: 0.500 0.000 0.000  0.07

#B
DFT (PBE) results for a relaxed structure of KSnAsBr2.

Calculated values
SG = P4/mmm (123)
DOS(E_F) = 3.9 states/eV/cell

Cell: 5.893 5.893 5.295 Å, 90.00 90.00 90.00°
Last column: magnetic moment on the atom in μB.
Positions (direct):
K: 0.500 0.500 0.500  0.00
As: 0.000 0.000 0.500  0.39
Sn: 0.000 0.000 0.000  -0.03
Br: 0.000 0.500 0.000  0.05
Br: 0.500 0.000 0.000  0.05

Least stable = #A

#A
DFT (PBE) results for a relaxed structure of KTaAsBr2.

Calculated values
SG = P4/mmm (123)
DOS(E_F) = 1.5 states/eV/cell

Cell: 5.347 5.347 5.013 Å, 90.00 90.00 90.00°
Last column: magnetic moment on the atom in μB.
Positions (direct):
As: 0.000 0.000 0.500  -0.01
K: 0.500 0.500 0.500  0.00
Br: 0.000 0.500 0.000  0.01
Br: 0.500 0.000 0.000  0.01
Ta: 0.000 0.000 0.000  0.16

#B
DFT (PBE) results for a relaxed structure of KTaAsBr2.

Calculated values
SG = P4/mmm (123)
DOS(E_F) = 5.6 states/eV/cell

Cell: 5.647 5.647 5.922 Å, 90.00 90.00 90.00°
Last column: magnetic moment on the atom in μB.
Positions (direct):
As: 0.000 0.000 0.500  -0.95
K: 0.000 0.000 0.000  -0.04
Br: 0.000 0.500 0.000  -0.10
Br: 0.500 0.000 0.000  -0.10
Ta: 0.500 0.500 0.500  2.24

Least stable = #B

#A
DFT (PBE) results for a relaxed structure of KTcAsBr2.

Calculated values
SG = P4/mmm (123)
DOS(E_F) = 2.4 states/eV/cell

Cell: 5.500 5.500 4.738 Å, 90.00 90.00 90.00°
Last column: magnetic moment on the atom in μB.
Positions (direct):
K: 0.500 0.500 0.500  0.00
As: 0.000 0.000 0.500  -0.07
Tc: 0.000 0.000 0.000  1.65
Br: 0.000 0.500 0.000  0.02
Br: 0.500 0.000 0.000  0.02

#B
DFT (PBE) results for a relaxed structure of KTcAsBr2.

Calculated values
SG = P4/mmm (123)
DOS(E_F) = 3.7 states/eV/cell

Cell: 5.836 5.836 5.997 Å, 90.00 90.00 90.00°
Last column: magnetic moment on the atom in μB.
Positions (direct):
K: 0.000 0.000 0.000  0.04
As: 0.000 0.000 0.500  0.97
Tc: 0.500 0.500 0.500  3.91
Br: 0.000 0.500 0.000  0.11
Br: 0.500 0.000 0.000  0.11

Least stable = #B

#A
DFT (PBE) results for a relaxed structure of KTiAs2Br.

Calculated values
SG = P4/mmm (123)
DOS(E_F) = 4.4 states/eV/cell

Cell: 5.493 5.493 5.561 Å, 90.00 90.00 90.00°
Last column: magnetic moment on the atom in μB.
Positions (direct):
As: 0.000 0.500 0.000  -0.43
As: 0.500 0.000 0.000  -0.43
K: 0.000 0.000 0.000  -0.05
Br: 0.000 0.000 0.500  -0.13
Ti: 0.500 0.500 0.500  1.89

#B
DFT (PBE) results for a relaxed structure of KTiAs2Br.

Calculated values
SG = P4/mmm (123)
DOS(E_F) = 1.9 states/eV/cell

Cell: 4.865 4.865 5.849 Å, 90.00 90.00 90.00°
Positions (direct):
As: 0.000 0.500 0.000
As: 0.500 0.000 0.000
K: 0.500 0.500 0.500
Br: 0.000 0.000 0.500
Ti: 0.000 0.000 0.000

Least stable = #A